# Hf3MnP (PBE, optimized geometry)
data_Hf3MnP
_chemical_formula_sum 'Hf3 Mn1 P1'
_space_group_name_H-M_alt 'P m -3 m'
_space_group_IT_number 221
_space_group_name_Hall '-P 4 2 3'
_cell_length_a 4.7107
_cell_length_b 4.7107
_cell_length_c 4.7107
_cell_angle_alpha 90.00
_cell_angle_beta 90.00
_cell_angle_gamma 90.00
loop_
_atom_site_label
_atom_site_type_symbol
_atom_site_fract_x
_atom_site_fract_y
_atom_site_fract_z
Hf1 Hf 0.0000 0.0000 0.5000
Mn1 Mn 0.0000 0.0000 0.0000
P1 P 0.5000 0.5000 0.5000
# Distance to the lowest polymorph of the same formula   0.33 eV per formula unit
# Calculated formation energy   1.88 eV per formula unit

# HfMn3P (PBE, optimized geometry)
data_HfMn3P
_chemical_formula_sum 'Hf1 Mn3 P1'
_space_group_name_H-M_alt 'P m -3 m'
_space_group_IT_number 221
_space_group_name_Hall '-P 4 2 3'
_cell_length_a 4.1737
_cell_length_b 4.1737
_cell_length_c 4.1737
_cell_angle_alpha 90.00
_cell_angle_beta 90.00
_cell_angle_gamma 90.00
loop_
_atom_site_label
_atom_site_type_symbol
_atom_site_fract_x
_atom_site_fract_y
_atom_site_fract_z
Hf1 Hf 0.0000 0.0000 0.0000
Mn1 Mn 0.0000 0.5000 0.5000
P1 P 0.5000 0.5000 0.5000
# Distance to the lowest polymorph of the same formula   0.00 eV per formula unit
# Calculated formation energy   -0.09 eV per formula unit

# HfMn3P (PBE, optimized geometry)
data_HfMn3P
_chemical_formula_sum 'Hf1 Mn3 P1'
_space_group_name_H-M_alt 'P m -3 m'
_space_group_IT_number 221
_space_group_name_Hall '-P 4 2 3'
_cell_length_a 4.7264
_cell_length_b 4.7264
_cell_length_c 4.7264
_cell_angle_alpha 90.00
_cell_angle_beta 90.00
_cell_angle_gamma 90.00
loop_
_atom_site_label
_atom_site_type_symbol
_atom_site_fract_x
_atom_site_fract_y
_atom_site_fract_z
Hf1 Hf 0.0000 0.0000 0.0000
Mn1 Mn 0.0000 0.0000 0.5000
P1 P 0.5000 0.5000 0.5000
# Distance to the lowest polymorph of the same formula   8.00 eV per formula unit
# Calculated formation energy   7.91 eV per formula unit

# Hf3MnP (PBE, optimized geometry)
data_Hf3MnP
_chemical_formula_sum 'Hf3 Mn1 P1'
_space_group_name_H-M_alt 'P m -3 m'
_space_group_IT_number 221
_space_group_name_Hall '-P 4 2 3'
_cell_length_a 4.7449
_cell_length_b 4.7449
_cell_length_c 4.7449
_cell_angle_alpha 90.00
_cell_angle_beta 90.00
_cell_angle_gamma 90.00
loop_
_atom_site_label
_atom_site_type_symbol
_atom_site_fract_x
_atom_site_fract_y
_atom_site_fract_z
Hf1 Hf 0.0000 0.0000 0.5000
Mn1 Mn 0.5000 0.5000 0.5000
P1 P 0.0000 0.0000 0.0000
# Distance to the lowest polymorph of the same formula   0.00 eV per formula unit
# Calculated formation energy   1.55 eV per formula unit

# Hf2MnP4 (PBE, optimized geometry)
data_Hf2MnP4
_chemical_formula_sum 'Hf4 Mn2 P8'
_space_group_name_H-M_alt 'I 4/m m m'
_space_group_IT_number 139
_space_group_name_Hall '-I 4 2'
_cell_length_a 4.4228
_cell_length_b 4.4228
_cell_length_c 12.9617
_cell_angle_alpha 90.00
_cell_angle_beta 90.00
_cell_angle_gamma 90.00
loop_
_atom_site_label
_atom_site_type_symbol
_atom_site_fract_x
_atom_site_fract_y
_atom_site_fract_z
Hf1 Hf 0.0000 0.0000 0.1226
Mn1 Mn 0.0000 0.0000 0.5000
P1 P 0.0000 0.0000 0.3170
P2 P 0.0000 0.5000 0.0000
# Calculated formation energy   -1.48 eV per formula unit

# HfMnP (PBE, optimized geometry)
data_HfMnP
_chemical_formula_sum 'Hf4 Mn4 P4'
_space_group_name_H-M_alt 'P n m a'
_space_group_IT_number 62
_cell_length_a 6.3881
_cell_length_b 3.5988
_cell_length_c 7.4599
_cell_angle_alpha 90.00
_cell_angle_beta 90.00
_cell_angle_gamma 90.00
loop_
_space_group_symop_operation_xyz
'x,y,z'
'-x,-y,-z'
'-x+1/2,-y,z+1/2'
'x+1/2,y,-z+1/2'
'x+1/2,-y+1/2,-z+1/2'
'-x+1/2,y+1/2,z+1/2'
'-x,y+1/2,-z'
'x,-y+1/2,z'
loop_
_atom_site_label
_atom_site_type_symbol
_atom_site_fract_x
_atom_site_fract_y
_atom_site_fract_z
Hf1 Hf 0.0318 0.2500 0.1748
Mn1 Mn 0.1364 0.2500 0.5603
P1 P 0.2333 0.7500 0.3716
# Calculated formation energy   -3.02 eV per formula unit

# HfMn2PRu (PBE, optimized geometry)
data_HfMn2PRu
_chemical_formula_sum 'Hf1 Mn2 P1 Ru1'
_space_group_name_H-M_alt 'P 4/m m m'
_space_group_IT_number 123
_space_group_name_Hall '-P 4 2'
_cell_length_a 4.1859
_cell_length_b 4.1859
_cell_length_c 4.8340
_cell_angle_alpha 90.00
_cell_angle_beta 90.00
_cell_angle_gamma 90.00
loop_
_atom_site_label
_atom_site_type_symbol
_atom_site_fract_x
_atom_site_fract_y
_atom_site_fract_z
Hf1 Hf 0.0000 0.0000 0.0000
Mn1 Mn 0.0000 0.5000 0.5000
P1 P 0.0000 0.0000 0.5000
Ru1 Ru 0.5000 0.5000 0.0000
# Calculated formation energy   1.39 eV per formula unit

# HfMnP2S (PBE, optimized geometry)
data_HfMnP2S
_chemical_formula_sum 'Hf1 Mn1 P2 S1'
_space_group_name_H-M_alt 'P 4/m m m'
_space_group_IT_number 123
_space_group_name_Hall '-P 4 2'
_cell_length_a 4.4316
_cell_length_b 4.4316
_cell_length_c 4.4960
_cell_angle_alpha 90.00
_cell_angle_beta 90.00
_cell_angle_gamma 90.00
loop_
_atom_site_label
_atom_site_type_symbol
_atom_site_fract_x
_atom_site_fract_y
_atom_site_fract_z
Hf1 Hf 0.0000 0.0000 0.0000
Mn1 Mn 0.5000 0.5000 0.5000
P1 P 0.0000 0.5000 0.5000
S1 S 0.5000 0.5000 0.0000
# Distance to the lowest polymorph of the same formula   0.00 eV per formula unit
# Energy relative to the elements, uncorrected   145 meV per atom

# HfMnPS2 (PBE, optimized geometry)
data_HfMnPS2
_chemical_formula_sum 'Hf1 Mn1 P1 S2'
_space_group_name_H-M_alt 'P 4/m m m'
_space_group_IT_number 123
_space_group_name_Hall '-P 4 2'
_cell_length_a 4.8745
_cell_length_b 4.8745
_cell_length_c 5.0485
_cell_angle_alpha 90.00
_cell_angle_beta 90.00
_cell_angle_gamma 90.00
loop_
_atom_site_label
_atom_site_type_symbol
_atom_site_fract_x
_atom_site_fract_y
_atom_site_fract_z
Hf1 Hf 0.0000 0.0000 0.0000
Mn1 Mn 0.5000 0.5000 0.5000
P1 P 0.0000 0.0000 0.5000
S1 S 0.0000 0.5000 0.0000
# Distance to the lowest polymorph of the same formula   0.00 eV per formula unit
# Energy relative to the elements, uncorrected   -45 meV per atom

# HfMnPS2 (PBE, optimized geometry)
data_HfMnPS2
_chemical_formula_sum 'Hf1 Mn1 P1 S2'
_space_group_name_H-M_alt 'P 4/m m m'
_space_group_IT_number 123
_space_group_name_Hall '-P 4 2'
_cell_length_a 4.3923
_cell_length_b 4.3923
_cell_length_c 4.6109
_cell_angle_alpha 90.00
_cell_angle_beta 90.00
_cell_angle_gamma 90.00
loop_
_atom_site_label
_atom_site_type_symbol
_atom_site_fract_x
_atom_site_fract_y
_atom_site_fract_z
Hf1 Hf 0.0000 0.0000 0.0000
Mn1 Mn 0.5000 0.5000 0.5000
P1 P 0.5000 0.5000 0.0000
S1 S 0.0000 0.5000 0.5000
# Distance to the lowest polymorph of the same formula   0.23 eV per formula unit
# Energy relative to the elements, uncorrected   0 meV per atom

# HfMnP2S (PBE, optimized geometry)
data_HfMnP2S
_chemical_formula_sum 'Hf1 Mn1 P2 S1'
_space_group_name_H-M_alt 'P 4/m m m'
_space_group_IT_number 123
_space_group_name_Hall '-P 4 2'
_cell_length_a 4.9815
_cell_length_b 4.9815
_cell_length_c 4.7851
_cell_angle_alpha 90.00
_cell_angle_beta 90.00
_cell_angle_gamma 90.00
loop_
_atom_site_label
_atom_site_type_symbol
_atom_site_fract_x
_atom_site_fract_y
_atom_site_fract_z
Hf1 Hf 0.0000 0.0000 0.0000
Mn1 Mn 0.5000 0.5000 0.5000
P1 P 0.0000 0.5000 0.0000
S1 S 0.0000 0.0000 0.5000
# Distance to the lowest polymorph of the same formula   3.43 eV per formula unit
# Energy relative to the elements, uncorrected   831 meV per atom

# Hf2MnPSe (PBE, optimized geometry)
data_Hf2MnPSe
_chemical_formula_sum 'Hf2 Mn1 P1 Se1'
_space_group_name_H-M_alt 'P 4/m m m'
_space_group_IT_number 123
_space_group_name_Hall '-P 4 2'
_cell_length_a 4.9266
_cell_length_b 4.9266
_cell_length_c 4.8034
_cell_angle_alpha 90.00
_cell_angle_beta 90.00
_cell_angle_gamma 90.00
loop_
_atom_site_label
_atom_site_type_symbol
_atom_site_fract_x
_atom_site_fract_y
_atom_site_fract_z
Hf1 Hf 0.0000 0.5000 0.0000
Mn1 Mn 0.0000 0.0000 0.5000
P1 P 0.5000 0.5000 0.5000
Se1 Se 0.5000 0.5000 0.0000
# Energy relative to the elements, uncorrected   714 meV per atom

Here are the calculated DFT total energy numbers, same order: -0.6256, -0.6316, -0.5139, -0.6305, -0.5480, -0.6750, -0.6113, -0.4902, -0.4853, -0.4819, -0.4398, -0.5057 (Ry per atom).
Here are the calculated total magnetic moment numbers, same order: 0.0, 3.9, 9.6, 0.2, 5.6, 7.9, 5.4, 3.1, 4.9, 3.0, 0.5, 3.6 (Bohr magnetons per cell).